Record 1
The following is a PBE calculation of a geometry-optimized CoSb2TeSe structure, from Alexandria.

Cell and atoms, written as extended XYZ:
```
5
Lattice="5.3556 0.0000 0.0000 0.0000 5.3556 0.0000 0.0000 0.0000 5.3246" Properties=species:S:1:pos:R:3 pbc="T T T"
Co 0.0000 0.0000 0.0000
Sb 0.0000 2.6778 2.6623
Sb 2.6778 0.0000 2.6623
Te 2.6778 2.6778 0.0000
Se 2.6778 2.6778 2.6623
```

Output
Energy above the lowest structure with this stoichiometry = 0.848 eV per atom
Size of the total moment = 1.91 μB per cell
SG = No. 123

***

Record 2
The following is a PBE calculation of a geometry-optimized Ge2OsF structure, from Alexandria.

Cell and atoms, written as extended XYZ:
```
4
Lattice="0.0000 3.0712 3.0712 3.0712 0.0000 3.0712 3.0712 3.0712 0.0000" Properties=species:S:1:pos:R:3 pbc="T T T"
Ge 1.5356 1.5356 1.5356
Ge 4.6068 4.6068 4.6068
Os 0.0000 0.0000 0.0000
F 3.0712 3.0712 3.0712
```

Output
Energy above the lowest structure with this stoichiometry = 0.049 eV per atom
Size of the total moment = 0.00 μB per cell
SG = No. 225

***

Record 3
The following is a PBE calculation of a geometry-optimized Cd2Te3O9 structure, from Alexandria.

Cell and atoms, written as extended XYZ:
```
56
Lattice="9.5296 0.0000 0.0000 0.0000 7.4249 0.0000 -7.3073 0.0000 11.3052" Properties=species:S:1:pos:R:3 pbc="T T T"
Cd -0.1299 0.9105 1.6583
Cd -3.7835 2.8020 7.3109
Cd -0.1105 4.6189 1.6705
Cd -3.7642 6.5185 7.3231
Cd 5.9865 0.9065 3.9822
Cd 2.3328 2.8060 9.6348
Cd 6.0058 4.6229 3.9944
Cd 2.3522 6.5145 9.6470
Te -4.3758 4.6235 10.6112
Te -0.7221 6.5139 4.9586
Te -4.2701 0.8412 10.8468
Te -0.6164 2.8712 5.1942
Te -0.7309 0.9674 8.4640
Te 2.9227 2.7451 2.8113
Te -0.7004 4.6799 8.4939
Te 2.9532 6.4576 2.8413
Te 2.8387 4.5537 6.1110
Te 6.4924 6.5837 0.4584
Te 2.9444 0.9110 6.3466
Te 6.5981 2.8014 0.6940
O -6.2536 4.7060 10.9649
O -2.5999 6.4315 5.3123
O -6.1590 0.8781 10.8951
O -2.5053 2.8344 5.2425
O -1.0673 0.5529 3.7672
O -4.7210 3.1596 9.4199
O -0.8690 4.8717 3.9168
O -4.5227 6.2657 9.5694
O -2.5975 0.9805 8.0988
O 1.0561 2.7319 2.4462
O -2.5445 4.6328 8.0639
O 1.1091 6.5047 2.4113
O -0.3008 1.4305 6.5707
O 3.3529 2.2820 0.9181
O -0.2146 4.2262 6.5679
O 3.4390 6.9112 0.9153
O 3.0388 4.6060 2.1764
O -0.6148 6.5315 7.8290
O 2.8371 0.8935 3.4762
O -0.8165 2.8190 9.1288
O -1.2167 0.5137 10.3899
O 2.4369 3.1988 4.7373
O -1.1306 5.1430 10.3872
O 2.5231 5.9945 4.7345
O 1.1132 0.9203 8.8939
O 4.7668 2.7922 3.2413
O 1.1662 4.6930 8.8590
O 4.8198 6.4444 3.2064
O 6.7450 1.1593 1.7358
O 3.0913 2.5532 7.3884
O 6.9433 4.2654 1.8854
O 3.2896 6.8721 7.5380
O 4.7276 4.5906 6.0627
O 8.3813 6.5469 0.4101
O 4.8222 0.9935 5.9929
O 8.4759 2.7190 0.3403
```

Output
Size of the total moment = 0.00 μB per cell
SG = No. 14
Calculated total energy = -5.049 eV/atom

***

Record 4
The following is a PBE calculation of a geometry-optimized Ac8Ir3SeS4 structure, from Alexandria.

Cell and atoms, written as extended XYZ:
```
16
Lattice="4.3417 2.5067 7.4039 -4.3417 2.5067 7.4039 0.0000 -5.0134 7.4039" Properties=species:S:1:pos:R:3 pbc="T T T"
Ac -2.2582 -1.3038 12.8614
Ac 0.0000 0.0000 5.4259
Ac 0.0000 -2.6075 9.3503
Ac -2.2582 1.3038 9.3503
Ac 2.2582 -1.3038 12.8614
Ac 0.0000 2.6075 12.8614
Ac 0.0000 0.0000 16.7857
Ac 2.2582 1.3038 9.3502
Ir -4.3417 0.0000 11.1058
Ir -2.1709 1.2533 3.7019
Ir 2.1709 1.2533 3.7019
Se 0.0000 0.0000 11.1058
S 0.0000 0.0000 0.0000
S -2.1709 -1.2533 7.4039
S -2.1709 1.2533 14.8077
S 0.0000 2.5067 7.4039
```

Output
Size of the total moment = 0.00 μB per cell
SG = No. 166
Calculated total energy = -6.415 eV/atom

***

Record 5
The following is a PBE calculation of a geometry-optimized RbSi2Pd2 structure, from Alexandria.

Cell and atoms, written as extended XYZ:
```
10
Lattice="8.2463 0.0000 0.0000 0.0000 8.2463 0.0000 0.0000 0.0000 2.9500" Properties=species:S:1:pos:R:3 pbc="T T T"
Rb 0.0000 0.0000 0.0000
Rb 4.1231 4.1231 0.0000
Si 1.0049 3.1182 1.4750
Si 3.1182 7.2414 1.4750
Si 5.1280 1.0049 1.4750
Si 7.2414 5.1280 1.4750
Pd 1.0682 5.1913 0.0000
Pd 3.0549 1.0682 0.0000
Pd 5.1913 7.1781 0.0000
Pd 7.1781 3.0549 0.0000
```

Output
Energy above the lowest structure with this stoichiometry = 0.270 eV per atom
Size of the total moment = 0.00 μB per cell
SG = No. 127

***

Record 6
The following is a PBE calculation of a geometry-optimized PuCuRhPb structure, from Alexandria.

Cell and atoms, written as extended XYZ:
```
4
Lattice="0.0000 3.4116 3.4116 3.4116 0.0000 3.4116 3.4116 3.4116 0.0000" Properties=species:S:1:pos:R:3 pbc="T T T"
Pu 0.0000 0.0000 0.0000
Cu 5.1174 5.1174 5.1174
Rh 1.7058 1.7058 1.7058
Pb 3.4116 3.4116 3.4116
```

Output
Size of the total moment = 4.94 μB per cell
SG = No. 216
Energy relative to the elements = -0.080 eV per atom

***

Record 7
The following is a PBE calculation of a geometry-optimized Sr3TaBe structure, from Alexandria.

Cell and atoms, written as extended XYZ:
```
5
Lattice="5.7784 0.0000 0.0000 0.0000 5.7784 0.0000 0.0000 0.0000 5.7784" Properties=species:S:1:pos:R:3 pbc="T T T"
Sr 0.0000 0.0000 2.8892
Sr 0.0000 2.8892 0.0000
Sr 2.8892 0.0000 0.0000
Ta 2.8892 2.8892 2.8892
Be 0.0000 0.0000 0.0000
```

Output
Energy above the lowest structure with this stoichiometry = 0.000 eV per atom
Size of the total moment = 3.88 μB per cell
SG = No. 221
Energy relative to the elements = 1.194 eV per atom